Ho2Zn5Pt (GGA-PBE, relaxed); symmetry = Cmcm, No. 63; E_tot = -25.709 eV/f.u.
1.0
-0.638 0.895 -3.847
-7.765 -1.673 2.978
-1.040 8.765 2.213
Zn Ho Pt
10 4 2
Cartesian
-2.656 0.279 -1.575
-6.787 7.707 2.919
-3.854 4.839 1.765
-4.149 7.331 2.394
-5.294 0.656 -1.050
-6.310 3.690 1.905
-2.833 6.758 -0.038
-6.610 1.228 1.382
-3.133 4.296 -0.561
-5.589 3.148 -0.421
-6.240 6.242 0.407
-3.203 1.745 0.937
0.000 0.000 0.000
-0.520 4.382 1.106
-1.358 2.521 -1.268
-8.085 5.466 2.612



Ho4Zn2Pt (GGA-PBE, relaxed); symmetry = I4/mmm, No. 139; E_tot = -30.459 eV/f.u.
1.0
5.702 0.013 -1.998
-2.838 4.926 -2.045
0.008 -0.013 6.042
Ho Pt Zn
4 1 2
Cartesian
2.851 0.007 -0.999
1.436 2.463 0.999
-1.419 2.463 -1.022
0.004 -0.007 3.021
0.000 0.000 0.000
1.432 2.470 -2.022
2.855 0.000 2.022



Ho4Zn3Pt (GGA-PBE, relaxed); symmetry = P4/mmm, No. 123; E_tot = -32.891 eV/f.u.
1.0
-2.634 -1.858 -1.494
-0.888 -1.301 3.184
-8.685 10.736 1.962
Pt Zn Ho
1 3 4
Cartesian
-1.761 -1.579 0.845
-6.104 3.789 1.826
-8.276 6.475 2.317
-3.931 1.104 1.335
-7.654 9.462 1.729
-3.242 4.007 0.732
-1.031 1.274 0.233
-5.443 6.729 1.230